No. 1
10
Lattice="-0.021 -4.319 -3.331 5.296 -0.866 1.089 -4.370 -3.566 4.652" Properties=species:S:1:pos:R:3 comment="HoAlZnAu2 (PBE, relaxed)" rho_g_cm3=10.68 sg="No. 67" e_form_ev_per_atom=-0.47 dos_ef_per_ev_cell=3.83 pbc="T T T"
Al 2.648 -0.433 0.544
Al 0.000 0.000 0.000
Au 2.124 -4.721 -0.317
Au -1.220 -4.030 2.727
Au 1.419 -6.358 1.810
Au -0.515 -2.393 0.600
Zn 3.961 -2.809 -0.849
Zn 1.313 -2.376 -1.393
Ho 1.782 -3.431 2.373
Ho -0.878 -5.320 0.037

No. 2
12
Lattice="5.681 0.000 0.000 0.000 6.606 0.000 0.000 -3.303 6.287" Properties=species:S:1:pos:R:3 comment="HoAl3ZnAu (PBE, relaxed)" rho_g_cm3=7.16 sg="No. 63" e_form_ev_per_atom=-0.21 dos_ef_per_ev_cell=4.88 pbc="T T T"
Al 1.420 0.000 1.748
Al 0.000 1.970 0.000
Al 0.000 4.635 0.000
Al 2.840 4.635 0.000
Al 2.840 1.970 0.000
Al 4.260 3.303 4.539
Au 4.260 3.303 1.923
Au 1.420 0.000 4.363
Zn 4.260 0.000 0.953
Zn 1.420 3.303 5.334
Ho 1.420 3.303 2.586
Ho 4.260 0.000 3.701

No. 3
4
Lattice="-4.879 0.955 0.182 -2.978 -2.799 2.837 -2.009 1.905 4.133" Properties=species:S:1:pos:R:3 comment="HoZrAlAu (PBE, relaxed)" rho_g_cm3=9.16 sg="No. 216" e_form_ev_per_atom=-0.41 dos_ef_per_ev_cell=2.52 pbc="T T T"
Ho -7.399 0.046 5.364
Al -4.933 0.031 3.576
Au 0.000 0.000 0.000
Zr -2.466 0.015 1.788

No. 4
4
Lattice="0.000 3.559 3.559 3.559 0.000 3.559 3.559 3.559 0.000" Properties=species:S:1:pos:R:3 comment="AlAu2I (PBE, relaxed)" e_form_raw_ev_per_atom=0.4188 relative_energy_ev_per_atom=0.441 rho_g_cm3=10.09 sg="No. 225" dos_ef_per_ev_cell=0.61 pbc="T T T"
Au 1.780 1.780 1.780
Au 5.339 5.339 5.339
I 3.559 3.559 3.559
Al 0.000 0.000 0.000

No. 5
4
Lattice="0.000 3.608 3.608 3.608 0.000 3.608 3.608 3.608 0.000" Properties=species:S:1:pos:R:3 comment="Al2AuI (PBE, relaxed)" e_form_raw_ev_per_atom=0.3484 relative_energy_ev_per_atom=0.330 rho_g_cm3=6.68 sg="No. 225" dos_ef_per_ev_cell=1.02 pbc="T T T"
Al 1.804 1.804 1.804
Al 5.412 5.412 5.412
I 0.000 0.000 0.000
Au 3.608 3.608 3.608

No. 6
10
Lattice="-7.937 0.331 -3.033 -1.309 -8.004 2.553 -1.304 1.348 3.559" Properties=species:S:1:pos:R:3 comment="AlAu2I2 (PBE, relaxed)" e_form_raw_ev_per_atom=0.3644 relative_energy_ev_per_atom=0.151 rho_g_cm3=7.70 sg="No. 127" dos_ef_per_ev_cell=6.31 pbc="T T T"
I -5.973 -1.498 -1.621
I -3.273 -6.175 1.140
I -2.092 -2.195 0.065
I -7.155 -5.479 -0.546
Au -2.325 -4.173 3.003
Au -6.660 -6.247 2.200
Au -3.890 -0.079 0.878
Au -8.225 -2.152 0.075
Al 0.000 0.000 0.000
Al -4.623 -3.837 -0.240